# 1
An optimized crystal structure of Rb12HAu6. Source: Alexandria, functional PBE.

a b c (Å): 9.8502 9.8502 9.8502
angles (deg): 99.07 99.07 99.07
Last column: nearest neighbours and their distance in Å.
Positions (direct):
Rb (0.0179, 0.6901, 0.9352)  1 H 3.06
Rb (0.0648, 0.9821, 0.3099)  1 H 3.06
Rb (0.1811, 0.4299, 0.5763)  4 Au 3.47-3.76
Rb (0.3099, 0.0648, 0.9821)  1 H 3.06
Rb (0.4237, 0.8189, 0.5701)  4 Au 3.47-3.76
Rb (0.4299, 0.5763, 0.1811)  4 Au 3.47-3.76
Rb (0.5701, 0.4237, 0.8189)  4 Au 3.47-3.76
Rb (0.5763, 0.1811, 0.4299)  4 Au 3.47-3.76
Rb (0.6901, 0.9352, 0.0179)  1 H 3.06
Rb (0.8189, 0.5701, 0.4237)  4 Au 3.47-3.76
Rb (0.9352, 0.0179, 0.6901)  1 H 3.06
Rb (0.9821, 0.3099, 0.0648)  1 H 3.06
H (0.0000, 0.0000, 0.0000)  6 Rb 3.06
Au (0.1257, 0.6419, 0.2935)  7 Rb 3.47-3.76
Au (0.2935, 0.1257, 0.6419)  7 Rb 3.47-3.76
Au (0.3581, 0.7065, 0.8743)  7 Rb 3.47-3.76
Au (0.6419, 0.2935, 0.1257)  7 Rb 3.47-3.76
Au (0.7065, 0.8743, 0.3581)  7 Rb 3.47-3.76
Au (0.8743, 0.3581, 0.7065)  7 Rb 3.47-3.76

Results
- Calculated density: 4.005 g cm⁻³
- E_tot: -37.76 eV/cell
- Space group: No. 148



# 2
An optimized crystal structure of LiTi4N5. Source: Alexandria, functional PBE.

a b c (Å): 5.1981 5.1981 7.3541
angles (deg): 118.75 118.75 33.42
Last column: nearest neighbours and their distance in Å.
Positions (direct):
Li (0.0000, 0.0000, 0.0000)  6 N 2.12-2.20
Ti (0.2106, 0.2106, 0.8075)  6 N 2.02-2.18
Ti (0.4075, 0.4075, 0.6124)  6 N 2.03-2.17
Ti (0.5925, 0.5925, 0.3876)  6 N 2.03-2.17
Ti (0.7894, 0.7894, 0.1925)  6 N 2.02-2.18
N (0.0000, 0.0000, 0.5000)  6 Ti 2.13-2.18
N (0.2003, 0.2003, 0.3045)  5 Ti 2.10-2.17, 1 Li 2.12
N (0.3924, 0.3924, 0.1054)  4 Ti 2.02-2.09, 2 Li 2.20
N (0.6076, 0.6076, 0.8946)  4 Ti 2.02-2.09, 2 Li 2.20
N (0.7997, 0.7997, 0.6955)  5 Ti 2.10-2.17, 1 Li 2.12

Results
- Calculated density: 4.709 g cm⁻³
- E_tot: -90.65 eV/cell
- ΔE_f (raw): -1553 meV/atom
- Space group: No. 12



# 3
An optimized crystal structure of Ac2SmScTe6. Source: Alexandria, functional PBE.

a b c (Å): 7.5152 8.4360 13.3874
angles (deg): 90.00 123.16 90.00
Last column: nearest neighbours and their distance in Å.
Positions (direct):
Ac (0.1980, 0.1127, 0.2461)  6 Te 3.31-3.48
Ac (0.1980, 0.3873, 0.7461)  6 Te 3.31-3.48
Ac (0.8020, 0.6127, 0.2539)  6 Te 3.31-3.48
Ac (0.8020, 0.8873, 0.7539)  6 Te 3.31-3.48
Sm (0.5000, 0.0000, 0.0000)  6 Te 3.08-3.13
Sm (0.5000, 0.5000, 0.5000)  6 Te 3.08-3.13
Sc (0.0000, 0.0000, 0.5000)  6 Te 2.90-2.97
Sc (0.0000, 0.5000, 0.0000)  6 Te 2.90-2.97
Te (0.0969, 0.1886, 0.9376)  1 Sc 2.97, 1 Sm 3.10
Te (0.0969, 0.3114, 0.4376)  1 Sc 2.97, 1 Sm 3.10
Te (0.2641, 0.6741, 0.9382)  1 Sc 2.93, 1 Sm 3.13
Te (0.2641, 0.8259, 0.4382)  1 Sc 2.93, 1 Sm 3.13
Te (0.3748, 0.0309, 0.7402)  1 Sc 2.90, 1 Sm 3.08
Te (0.3748, 0.4691, 0.2402)  1 Sc 2.90, 1 Sm 3.08
Te (0.6252, 0.5309, 0.7598)  1 Sc 2.90, 1 Sm 3.08
Te (0.6252, 0.9691, 0.2598)  1 Sc 2.90, 1 Sm 3.08
Te (0.7359, 0.1741, 0.5618)  1 Sc 2.93, 1 Sm 3.13
Te (0.7359, 0.3259, 0.0618)  1 Sc 2.93, 1 Sm 3.13
Te (0.9031, 0.6886, 0.5624)  1 Sc 2.97, 1 Sm 3.10
Te (0.9031, 0.8114, 0.0624)  1 Sc 2.97, 1 Sm 3.10

Results
- Calculated density: 6.614 g cm⁻³
- E_tot: -105.52 eV/cell
- ΔE_f (raw): -1464 meV/atom
- Space group: No. 14



# 4
An optimized crystal structure of TaMnCr. Source: Alexandria, functional PBE.

a b c (Å): 4.8624 4.8624 4.8624
angles (deg): 120.75 118.81 90.40
Last column: nearest neighbours and their distance in Å.
Positions (direct):
Ta (0.3734, 0.1234, 0.2500)  6 Cr 2.83-2.88, 6 Mn 2.83-2.86, 4 Ta 2.96-3.00
Ta (0.6266, 0.8766, 0.7500)  6 Cr 2.83-2.88, 6 Mn 2.83-2.86, 4 Ta 2.96-3.00
Mn (0.0000, 0.5000, 0.5000)  4 Cr 2.43, 2 Mn 2.47
Mn (0.5000, 0.5000, 0.0000)  4 Cr 2.43, 2 Mn 2.47
Cr (0.0000, 0.0000, 0.5000)  2 Cr 2.40, 4 Mn 2.43
Cr (0.0000, 0.5000, 0.0000)  2 Cr 2.40, 4 Mn 2.43

Results
- Energy of formation from the pure elements: -0.17 eV per atom
- Calculated density: 11.726 g cm⁻³
- E_tot: -62.30 eV/cell
- Space group: No. 74



# 5
An optimized crystal structure of Cu3TcPt. Source: Alexandria, functional PBE.

a b c (Å): 4.6424 4.6424 4.6424
angles (deg): 90.00 90.00 90.00
Last column: nearest neighbours and their distance in Å.
Positions (direct):
Cu (0.0000, 0.0000, 0.5000)  2 Pt 2.32
Cu (0.0000, 0.5000, 0.0000)  2 Pt 2.32
Cu (0.5000, 0.0000, 0.0000)  2 Pt 2.32
Tc (0.5000, 0.5000, 0.5000)  12 Cu 3.28
Pt (0.0000, 0.0000, 0.0000)  6 Cu 2.32

Results
- Energy of formation from the pure elements: 1.32 eV per atom
- Calculated density: 8.028 g cm⁻³
- E_tot: -22.07 eV/cell
- Space group: No. 221



# 6
An optimized crystal structure of Cu2IrPb. Source: Alexandria, functional PBE.

a b c (Å): 9.6919 9.6919 9.6919
angles (deg): 156.68 156.68 33.22
Last column: nearest neighbours and their distance in Å.
Positions (direct):
Cu (0.0646, 0.6250, 0.9396)  2 Cu 2.46, 2 Ir 2.63
Cu (0.3750, 0.3146, 0.4396)  2 Cu 2.46, 2 Ir 2.63
Cu (0.6854, 0.1250, 0.0604)  2 Cu 2.46, 2 Ir 2.63
Cu (0.8750, 0.9354, 0.5604)  2 Cu 2.46, 2 Ir 2.63
Ir (0.0000, 0.0000, 0.0000)  4 Cu 2.63, 4 Pb 2.77
Ir (0.7500, 0.2500, 0.5000)  4 Cu 2.63, 4 Pb 2.77
Pb (0.2500, 0.7500, 0.5000)  4 Ir 2.77, 4 Cu 2.80
Pb (0.5000, 0.5000, 0.0000)  4 Ir 2.77, 4 Cu 2.80

Results
- Energy of formation from the pure elements: 0.48 eV per atom
- Calculated density: 12.265 g cm⁻³
- E_tot: -37.71 eV/cell
- Space group: No. 122



Please write out number 1 again, unchanged.
An optimized crystal structure of Rb12HAu6. Source: Alexandria, functional PBE.

a b c (Å): 9.8502 9.8502 9.8502
angles (deg): 99.07 99.07 99.07
Last column: nearest neighbours and their distance in Å.
Positions (direct):
Rb (0.0179, 0.6901, 0.9352)  1 H 3.06
Rb (0.0648, 0.9821, 0.3099)  1 H 3.06
Rb (0.1811, 0.4299, 0.5763)  4 Au 3.47-3.76
Rb (0.3099, 0.0648, 0.9821)  1 H 3.06
Rb (0.4237, 0.8189, 0.5701)  4 Au 3.47-3.76
Rb (0.4299, 0.5763, 0.1811)  4 Au 3.47-3.76
Rb (0.5701, 0.4237, 0.8189)  4 Au 3.47-3.76
Rb (0.5763, 0.1811, 0.4299)  4 Au 3.47-3.76
Rb (0.6901, 0.9352, 0.0179)  1 H 3.06
Rb (0.8189, 0.5701, 0.4237)  4 Au 3.47-3.76
Rb (0.9352, 0.0179, 0.6901)  1 H 3.06
Rb (0.9821, 0.3099, 0.0648)  1 H 3.06
H (0.0000, 0.0000, 0.0000)  6 Rb 3.06
Au (0.1257, 0.6419, 0.2935)  7 Rb 3.47-3.76
Au (0.2935, 0.1257, 0.6419)  7 Rb 3.47-3.76
Au (0.3581, 0.7065, 0.8743)  7 Rb 3.47-3.76
Au (0.6419, 0.2935, 0.1257)  7 Rb 3.47-3.76
Au (0.7065, 0.8743, 0.3581)  7 Rb 3.47-3.76
Au (0.8743, 0.3581, 0.7065)  7 Rb 3.47-3.76

Results
- Calculated density: 4.005 g cm⁻³
- E_tot: -37.76 eV/cell
- Space group: No. 148



Please write out number 3 again, unchanged.
An optimized crystal structure of Ac2SmScTe6. Source: Alexandria, functional PBE.

a b c (Å): 7.5152 8.4360 13.3874
angles (deg): 90.00 123.16 90.00
Last column: nearest neighbours and their distance in Å.
Positions (direct):
Ac (0.1980, 0.1127, 0.2461)  6 Te 3.31-3.48
Ac (0.1980, 0.3873, 0.7461)  6 Te 3.31-3.48
Ac (0.8020, 0.6127, 0.2539)  6 Te 3.31-3.48
Ac (0.8020, 0.8873, 0.7539)  6 Te 3.31-3.48
Sm (0.5000, 0.0000, 0.0000)  6 Te 3.08-3.13
Sm (0.5000, 0.5000, 0.5000)  6 Te 3.08-3.13
Sc (0.0000, 0.0000, 0.5000)  6 Te 2.90-2.97
Sc (0.0000, 0.5000, 0.0000)  6 Te 2.90-2.97
Te (0.0969, 0.1886, 0.9376)  1 Sc 2.97, 1 Sm 3.10
Te (0.0969, 0.3114, 0.4376)  1 Sc 2.97, 1 Sm 3.10
Te (0.2641, 0.6741, 0.9382)  1 Sc 2.93, 1 Sm 3.13
Te (0.2641, 0.8259, 0.4382)  1 Sc 2.93, 1 Sm 3.13
Te (0.3748, 0.0309, 0.7402)  1 Sc 2.90, 1 Sm 3.08
Te (0.3748, 0.4691, 0.2402)  1 Sc 2.90, 1 Sm 3.08
Te (0.6252, 0.5309, 0.7598)  1 Sc 2.90, 1 Sm 3.08
Te (0.6252, 0.9691, 0.2598)  1 Sc 2.90, 1 Sm 3.08
Te (0.7359, 0.1741, 0.5618)  1 Sc 2.93, 1 Sm 3.13
Te (0.7359, 0.3259, 0.0618)  1 Sc 2.93, 1 Sm 3.13
Te (0.9031, 0.6886, 0.5624)  1 Sc 2.97, 1 Sm 3.10
Te (0.9031, 0.8114, 0.0624)  1 Sc 2.97, 1 Sm 3.10

Results
- Calculated density: 6.614 g cm⁻³
- E_tot: -105.52 eV/cell
- ΔE_f (raw): -1464 meV/atom
- Space group: No. 14



Repeat the fifth record exactly.
An optimized crystal structure of Cu3TcPt. Source: Alexandria, functional PBE.

a b c (Å): 4.6424 4.6424 4.6424
angles (deg): 90.00 90.00 90.00
Last column: nearest neighbours and their distance in Å.
Positions (direct):
Cu (0.0000, 0.0000, 0.5000)  2 Pt 2.32
Cu (0.0000, 0.5000, 0.0000)  2 Pt 2.32
Cu (0.5000, 0.0000, 0.0000)  2 Pt 2.32
Tc (0.5000, 0.5000, 0.5000)  12 Cu 3.28
Pt (0.0000, 0.0000, 0.0000)  6 Cu 2.32

Results
- Energy of formation from the pure elements: 1.32 eV per atom
- Calculated density: 8.028 g cm⁻³
- E_tot: -22.07 eV/cell
- Space group: No. 221



The highest E_tot belongs to which entry?
Cu3TcPt